This record from Alexandria via LeMat-Bulk describes crystalline HoMgPd at its relaxed geometry. The functional is GGA-PBE.

POSCAR file:
```
HoMgPd
1.0
4.037 0.000 0.000
0.000 7.451 0.000
0.000 -3.726 6.453
Mg Ho Pd
3 3 3
direct
0.000 0.245 0.000
0.000 0.755 0.755
0.000 0.000 0.245
0.500 0.588 0.000
0.500 0.000 0.588
0.500 0.412 0.412
0.000 0.333 0.667
0.000 0.667 0.333
0.500 0.000 0.000
```

Computed properties:
Its calculated formation energy is -2.085 eV per formula unit.